[1]
This record from Alexandria via LeMat-Bulk describes a geometry-optimized RbAs2N structure. The functional is GGA-PBE.

abc: 5.4084 5.4084 7.8668
angles: 69.89 69.89 90.00
Positions (direct):
N  0.2500  0.7500  0.5000
As  0.3766  0.6250  0.2500
As  0.3734  0.1250  0.2500
Rb  0.7500  0.2500  0.5000
N  0.5000  0.5000  0.0000
Rb  0.0000  0.0000  0.0000
As  0.8750  0.6234  0.7500
As  0.3750  0.6266  0.7500

Calculated values
- ρ (g/cm³) = 4.12
- VASP energy (eV per atom) = -4.1162
- size of the total moment (μB/f.u.) = 0.0

[2]
This record from Alexandria via LeMat-Bulk describes a geometry-optimized Rb2AsN structure. The functional is GGA-PBE.

abc: 12.2678 12.2678 8.8999
angles: 46.43 46.43 90.00
Positions (direct):
As  0.0000  0.0000  0.0000
N  0.2500  0.7500  0.5000
N  0.5000  0.5000  0.0000
Rb  0.8750  0.6468  0.7500
Rb  0.3750  0.6032  0.7500
Rb  0.3968  0.1250  0.2500
As  0.7500  0.2500  0.5000
Rb  0.3532  0.6250  0.2500

Calculated values
- ρ (g/cm³) = 2.88
- VASP energy (eV per atom) = -3.4876
- size of the total moment (μB/f.u.) = 0.0

[3]
This record from Alexandria via LeMat-Bulk describes a geometry-optimized RbAs2N2 structure. The functional is GGA-PBE.

abc: 7.7685 7.7685 3.0927
angles: 90.00 90.00 90.00
Positions (direct):
As  0.1050  0.6050  0.5000
Rb  0.0000  0.0000  0.0000
N  0.3846  0.8846  0.0000
N  0.8846  0.6154  0.0000
N  0.1154  0.3846  0.0000
As  0.3950  0.1050  0.5000
Rb  0.5000  0.5000  0.0000
N  0.6154  0.1154  0.0000
As  0.8950  0.3950  0.5000
As  0.6050  0.8950  0.5000

Calculated values
- ρ (g/cm³) = 4.69
- VASP energy (eV per atom) = -4.2906
- size of the total moment (μB/f.u.) = 0.0

[4]
This record from Alexandria via LeMat-Bulk describes a geometry-optimized RbAsN2 structure. The functional is GGA-PBE.

abc: 7.5708 7.5708 7.5708
angles: 23.58 23.58 23.58
Positions (direct):
N  0.8796  0.8796  0.8796
Rb  0.0000  0.0000  0.0000
N  0.1204  0.1204  0.1204
As  0.5000  0.5000  0.5000

Calculated values
- ρ (g/cm³) = 5.13
- VASP energy (eV per atom) = -4.7424
- size of the total moment (μB/f.u.) = 0.0

[5]
This record from Alexandria via LeMat-Bulk describes a geometry-optimized RbAsN2 structure. The functional is GGA-PBE.

abc: 7.0083 7.0083 7.0083
angles: 37.88 37.88 37.88
Positions (direct):
As  0.0000  0.0000  0.0000
Rb  0.5000  0.5000  0.5000
N  0.9142  0.9142  0.9142
N  0.0858  0.0858  0.0858

Calculated values
- ρ (g/cm³) = 2.69
- VASP energy (eV per atom) = -4.9377
- size of the total moment (μB/f.u.) = 0.0

[6]
This record from Alexandria via LeMat-Bulk describes a geometry-optimized Rb2As2N structure. The functional is GGA-PBE.

abc: 8.3932 8.3932 5.4683
angles: 90.00 90.00 90.00
Last column: magnetic moment on the atom in μB.
Positions (direct):
N  0.5000  0.5000  0.0000  1.32
Rb  0.7034  0.2034  0.0000  0.00
Rb  0.2034  0.2966  0.0000  0.00
As  0.5937  0.9063  0.5000  -0.20
As  0.9063  0.4063  0.5000  -0.20
Rb  0.7966  0.7034  0.0000  0.00
N  0.0000  0.0000  0.0000  1.32
As  0.0937  0.5937  0.5000  -0.20
As  0.4063  0.0937  0.5000  -0.20
Rb  0.2966  0.7966  0.0000  0.00

Calculated values
- ρ (g/cm³) = 2.89
- VASP energy (eV per atom) = -3.2994
- size of the total moment (μB/f.u.) = 1.0

[7]
This record from Alexandria via LeMat-Bulk describes a geometry-optimized RbAsN2 structure. The functional is GGA-PBE.

abc: 5.8350 5.8350 5.6133
angles: 58.68 58.68 90.00
Positions (direct):
N  0.4800  0.1250  0.2500
As  0.5000  0.5000  0.0000
Rb  0.0000  0.0000  0.0000
N  0.2700  0.6250  0.2500
Rb  0.7500  0.2500  0.5000
N  0.8750  0.7300  0.7500
As  0.2500  0.7500  0.5000
N  0.3750  0.5200  0.7500

Calculated values
- ρ (g/cm³) = 4.83
- VASP energy (eV per atom) = -5.3628
- size of the total moment (μB/f.u.) = 0.0

[8]
This record from Alexandria via LeMat-Bulk describes a geometry-optimized Rb2As2N structure. The functional is GGA-PBE.

abc: 3.7356 3.7356 10.3121
angles: 79.56 79.56 90.00
Last column: magnetic moment on the atom in μB.
Positions (direct):
Rb  0.5866  0.5866  0.8267  0.01
As  0.7500  0.2500  0.5000  0.02
Rb  0.4134  0.4134  0.1733  0.01
N  0.0000  0.0000  0.0000  1.05
As  0.2500  0.7500  0.5000  0.02

Calculated values
- ρ (g/cm³) = 4.00
- VASP energy (eV per atom) = -3.4570
- size of the total moment (μB/f.u.) = 1.8

[9]
This record from Alexandria via LeMat-Bulk describes a geometry-optimized Rb2AsN structure. The functional is GGA-PBE.

abc: 5.7738 5.7738 5.7738
angles: 60.00 60.00 60.00
Last column: magnetic moment on the atom in μB.
Positions (direct):
Rb  0.7500  0.7500  0.7500  0.03
N  0.0000  0.0000  0.0000  1.49
As  0.5000  0.5000  0.5000  0.69
Rb  0.2500  0.2500  0.2500  0.03

Calculated values
- ρ (g/cm³) = 3.17
- VASP energy (eV per atom) = -2.7929
- size of the total moment (μB/f.u.) = 4.0

[10]
This record from Alexandria via LeMat-Bulk describes a geometry-optimized RbAsN structure. The functional is GGA-PBE.

abc: 5.8226 4.4962 10.6278
angles: 113.27 114.37 39.54
Last column: magnetic moment on the atom in μB.
Positions (direct):
N  0.0378  0.9013  0.7505  0.15
As  0.7982  0.9074  0.2665  -0.01
As  0.2492  0.0752  0.1667  -0.01
Rb  0.6361  0.0127  0.9361  0.01
Rb  0.4103  0.9709  0.4972  0.01
N  0.0062  0.0849  0.6827  0.15

Calculated values
- ρ (g/cm³) = 3.62
- VASP energy (eV per atom) = -4.8479
- size of the total moment (μB/f.u.) = 0.3

[11]
This record from Alexandria via LeMat-Bulk describes a geometry-optimized RbAsSe2N structure. The functional is GGA-PBE.

abc: 6.1511 6.1511 5.0134
angles: 90.00 90.00 90.00
Last column: magnetic moment on the atom in μB.
Positions (direct):
As  0.5000  0.5000  0.5000  -0.88
Se  0.0000  0.5000  0.0000  0.72
Rb  0.0000  0.0000  0.0000  -0.05
Se  0.5000  0.0000  0.0000  0.72
N  0.0000  0.0000  0.5000  -0.41

Calculated values
- ρ (g/cm³) = 2.91
- VASP energy (eV per atom) = -2.0419
- size of the total moment (μB/f.u.) = 0.2

[12]
This record from Alexandria via LeMat-Bulk describes a geometry-optimized RbAs2SeN structure. The functional is GGA-PBE.

abc: 4.4699 4.4699 5.4983
angles: 90.00 90.00 90.00
Positions (direct):
Se  0.0000  0.0000  0.5000
As  0.5000  0.0000  0.0000
Rb  0.5000  0.5000  0.5000
As  0.0000  0.5000  0.0000
N  0.0000  0.0000  0.0000

Calculated values
- ρ (g/cm³) = 4.96
- VASP energy (eV per atom) = -3.6988
- size of the total moment (μB/f.u.) = 0.0

Repeat the ninth record exactly.
This record from Alexandria via LeMat-Bulk describes a geometry-optimized Rb2AsN structure. The functional is GGA-PBE.

abc: 5.7738 5.7738 5.7738
angles: 60.00 60.00 60.00
Last column: magnetic moment on the atom in μB.
Positions (direct):
Rb  0.7500  0.7500  0.7500  0.03
N  0.0000  0.0000  0.0000  1.49
As  0.5000  0.5000  0.5000  0.69
Rb  0.2500  0.2500  0.2500  0.03

Calculated values
- ρ (g/cm³) = 3.17
- VASP energy (eV per atom) = -2.7929
- size of the total moment (μB/f.u.) = 4.0